DFT (PBE) results for a relaxed structure of TbPr2Sm6Ho.

Values from the calculation:
- E_tot (eV/atom) = -4.592
- calculated formation energy (kcal/mol of atoms) = 2.68
- calculated volume (Å³/cell) = 1365.3

Unit cell a=9.1609 b=15.3047 c=9.8545 alpha=90.00 beta=98.84 gamma=90.00
Space group C2/c (No. 15)
Symmetry-distinct sites (fractional):
1 Tb 0.0000 0.0179 0.2500 x4
2 Pr 0.2453 0.0512 0.5416 x8
3 Sm 0.0640 0.1880 0.9437 x8
4 Sm 0.1031 0.3954 0.1198 x8
5 Sm 0.2027 0.2214 0.3109 x8
6 Ho 0.0000 0.4074 0.7500 x4

DFT (PBE) results for a relaxed structure of TbPrSmHo3.

Values from the calculation:
- E_tot (eV/atom) = -4.449
- calculated formation energy (kcal/mol of atoms) = 4.48
- calculated volume (Å³/cell) = 788.6

Unit cell a=19.7949 b=5.6315 c=7.0739 alpha=90.00 beta=90.27 gamma=90.00
Space group C2/m (No. 12)
Symmetry-distinct sites (fractional):
1 Tb 0.1495 0.0000 0.4577 x4
2 Pr 0.1461 0.0000 0.0316 x4
3 Sm 0.0540 0.5000 0.2620 x4
4 Ho 0.0233 0.0000 0.7401 x4
5 Ho 0.1649 0.5000 0.7355 x4
6 Ho 0.2210 0.5000 0.2462 x4

DFT (PBE) results for a relaxed structure of TbPrSmHo.

Values from the calculation:
- E_tot (eV/atom) = -4.658
- calculated formation energy (kcal/mol of atoms) = 0.43
- calculated volume (Å³/cell) = 265.6

Unit cell a=5.1076 b=5.1076 c=10.1825 alpha=90.00 beta=90.00 gamma=90.00
Space group I-4m2 (No. 119)
Symmetry-distinct sites (fractional):
1 Tb 0.0000 0.0000 0.0000 x2
2 Pr 0.0000 0.5000 0.7500 x2
3 Sm 0.0000 0.0000 0.5000 x2
4 Ho 0.0000 0.5000 0.2500 x2